# 1
The following is a DFT calculation (PBE-GGA) of a relaxed structure of HfUOs.

The calculation puts the total magnetic moment at 0.078 μB per atom. Its energy is -10.089 eV/atom. The formation energy from the elements is 737 meV/atom.

The space group is F-43m (No. 216) and the conventional cell measures 6.363, 6.363 and 6.363 Å, with angles of 90.00, 90.00 and 90.00 degrees. The distinct sites, in fractional coordinates, are Hf at (0.000, 0.000, 0.000), U at (0.250, 0.250, 0.250) and Os at (0.000, 0.000, 0.500).

# 2
The following is a DFT calculation (PBE-GGA) of a relaxed structure of HfUOs.

The calculation puts the total magnetic moment at 1.034 μB per atom. Its energy is -10.668 eV/atom. The formation energy from the elements is 158 meV/atom.

The space group is F-43m (No. 216) and the conventional cell measures 6.489, 6.489 and 6.489 Å, with angles of 90.00, 90.00 and 90.00 degrees. The distinct sites, in fractional coordinates, are Hf at (0.000, 0.000, 0.000), U at (0.000, 0.000, 0.500) and Os at (0.250, 0.250, 0.250).

# 3
The following is a DFT calculation (PBE-GGA) of a relaxed structure of HfOs2W.

The calculation puts the total magnetic moment at 0.028 μB per atom. Its energy is -11.197 eV/atom. The formation energy from the elements is 145 meV/atom.

The space group is F-43m (No. 216) and the conventional cell measures 6.363, 6.363 and 6.363 Å, with angles of 90.00, 90.00 and 90.00 degrees. The distinct sites, in fractional coordinates, are Hf at (0.000, 0.000, 0.000), Os at (0.000, 0.000, 0.500), Os at (0.250, 0.250, 0.250) and W at (0.250, 0.250, 0.750).

# 4
The following is a DFT calculation (PBE-GGA) of a relaxed structure of HfOsW2.

The calculation puts the total magnetic moment at 0.000 μB per atom. Its energy is -11.915 eV/atom. The formation energy from the elements is -140 meV/atom.

The space group is F-43m (No. 216) and the conventional cell measures 6.418, 6.418 and 6.418 Å, with angles of 90.00, 90.00 and 90.00 degrees. The distinct sites, in fractional coordinates, are Hf at (0.000, 0.000, 0.000), Os at (0.250, 0.250, 0.750), W at (0.000, 0.000, 0.500) and W at (0.250, 0.250, 0.250).